1.
## SrCaTlOs2 (PBE)

Data for a geometry-optimized SrCaTlOs2 structure.

Computed properties:
Formation energy (eV per atom): 1.698
DFT total energy (eV per atom): -4.00

Lattice parameters (Å, degrees): 5.026 5.026 5.515 90.00 90.00 90.00
Space group P4/mmm (No. 123)
Asymmetric unit:
Sr (0.000, 0.000, 0.000) (multiplicity 1)
Ca (0.500, 0.500, 0.500) (multiplicity 1)
Tl (0.500, 0.500, 0.000) (multiplicity 1)
Os (0.000, 0.500, 0.500) (multiplicity 2)

***

2.
## SrCaY2Os (PBE)

Data for a geometry-optimized SrCaY2Os structure.

Computed properties:
Formation energy (eV per atom): 0.009
DFT total energy (eV per atom): -5.56

Lattice parameters (Å, degrees): 5.473 5.473 5.771 90.00 90.00 90.00
Space group P4/mmm (No. 123)
Asymmetric unit:
Sr (0.000, 0.000, 0.000) (multiplicity 1)
Ca (0.500, 0.500, 0.000) (multiplicity 1)
Y (0.000, 0.500, 0.500) (multiplicity 2)
Os (0.500, 0.500, 0.500) (multiplicity 1)